[1]
PBE La2Pa2Si2C, relaxed; formation energy (no corrections) = -499 meV per atom; E = -7.4867 eV/atom; DOS at the Fermi energy = 8.701 states/eV/cell
1.0
4.663 0.000 0.000
0.000 4.663 0.000
-2.331 -2.331 7.964
C Si Pa La
1 2 2 2
direct
0.000 0.000 0.000
0.626 0.626 0.252
0.374 0.374 0.748
0.000 0.500 0.000
0.500 0.000 0.000
0.826 0.826 0.653
0.174 0.174 0.347

---

[2]
PBE LaPaTcC3, relaxed; E = -8.7769 eV/atom; DOS at the Fermi energy = 5.607 states/eV/cell
1.0
-0.576 -3.610 0.313
0.943 0.507 7.570
-7.759 1.232 -0.077
La Tc C Pa
2 2 6 2
direct
0.750 0.832 0.820
0.250 0.168 0.180
0.750 0.904 0.404
0.250 0.096 0.596
0.750 0.160 0.518
0.750 0.422 0.127
0.250 0.578 0.873
0.250 0.137 0.845
0.250 0.840 0.482
0.750 0.863 0.155
0.750 0.367 0.834
0.250 0.633 0.166

---

[3]
PBE LaPaWC3, relaxed; E = -9.1747 eV/atom; DOS at the Fermi energy = 7.665 states/eV/cell
1.0
-1.342 -0.227 3.463
-6.868 -1.698 -2.773
2.798 -7.511 0.591
Pa C La W
2 6 2 2
direct
0.250 0.631 0.164
0.750 0.369 0.836
0.250 0.834 0.483
0.750 0.166 0.517
0.250 0.129 0.844
0.750 0.871 0.156
0.750 0.422 0.122
0.250 0.578 0.878
0.750 0.831 0.826
0.250 0.169 0.174
0.750 0.898 0.403
0.250 0.102 0.597

---

[4]
PBE LaPa2WC4, relaxed; E = -9.3667 eV/atom; DOS at the Fermi energy = 14.562 states/eV/cell
1.0
3.565 0.000 0.000
-1.783 6.158 0.000
0.000 0.000 12.458
C Pa W La
8 4 2 2
direct
0.000 0.000 0.000
0.741 0.483 0.880
0.259 0.517 0.380
0.580 0.160 0.250
0.000 0.000 0.500
0.741 0.483 0.620
0.259 0.517 0.120
0.420 0.840 0.750
0.370 0.739 0.958
0.370 0.739 0.542
0.630 0.261 0.458
0.630 0.261 0.042
0.167 0.334 0.250
0.833 0.666 0.750
0.096 0.192 0.750
0.904 0.808 0.250

---

[5]
PBE LaPbC3, relaxed; E = -5.1331 eV/atom; energy relative to the lowest polymorph listed for this composition = 0 meV/atom; DOS at the Fermi energy = 4.034 states/eV/cell
1.0
4.442 0.000 0.000
0.000 4.442 0.000
0.000 0.000 4.442
Pb C La
1 3 1
direct
0.000 0.000 0.000
0.000 0.500 0.000
0.000 0.000 0.500
0.500 0.000 0.000
0.500 0.500 0.500

---

[6]
PBE La7Pb3C2, relaxed; E = -5.7858 eV/atom; DOS at the Fermi energy = 7.412 states/eV/cell
1.0
2.643 -13.125 0.000
2.643 13.125 0.000
0.000 0.000 5.102
La Pb C
7 3 2
direct
0.000 0.000 0.000
0.602 0.398 0.000
0.905 0.095 0.500
0.800 0.200 0.000
0.095 0.905 0.500
0.200 0.800 0.000
0.398 0.602 0.000
0.500 0.500 0.500
0.309 0.691 0.500
0.691 0.309 0.500
0.895 0.105 0.000
0.105 0.895 0.000

---

[7]
PBE La5Pb2C, relaxed; E = -5.5766 eV/atom; DOS at the Fermi energy = 33.294 states/eV/cell
1.0
7.139 0.000 0.000
0.000 9.279 0.000
0.000 0.000 15.043
C La Pb
4 20 8
direct
0.750 0.808 0.939
0.250 0.192 0.061
0.250 0.692 0.439
0.750 0.308 0.561
0.996 0.358 0.113
0.496 0.142 0.613
0.496 0.642 0.887
0.500 0.500 0.500
0.996 0.858 0.387
0.500 0.000 0.000
0.750 0.454 0.705
0.250 0.046 0.205
0.504 0.358 0.113
0.750 0.223 0.389
0.250 0.546 0.295
0.750 0.954 0.795
0.250 0.277 0.889
0.000 0.000 0.000
0.000 0.500 0.500
0.250 0.777 0.611
0.750 0.723 0.111
0.504 0.858 0.387
0.004 0.142 0.613
0.004 0.642 0.887
0.250 0.693 0.086
0.750 0.807 0.586
0.250 0.947 0.803
0.750 0.553 0.303
0.250 0.193 0.414
0.750 0.307 0.914
0.250 0.447 0.697
0.750 0.053 0.197

---

[8]
PBE LaPbC3, relaxed; E = -4.7868 eV/atom; energy relative to the lowest polymorph listed for this composition = 346 meV/atom; DOS at the Fermi energy = 4.473 states/eV/cell
1.0
4.630 0.000 0.000
0.000 4.630 0.000
0.000 0.000 4.630
C La Pb
3 1 1
direct
0.000 0.000 0.500
0.000 0.500 0.000
0.500 0.000 0.000
0.000 0.000 0.000
0.500 0.500 0.500

---

[9]
PBE La9Pb3C2, relaxed; E = -5.7066 eV/atom; DOS at the Fermi energy = 11.150 states/eV/cell
1.0
7.337 0.000 0.000
-3.669 6.354 0.000
0.000 0.000 8.979
La C Pb
9 2 3
direct
0.170 0.341 0.669
0.170 0.830 0.669
0.341 0.170 0.331
0.830 0.659 0.331
0.000 0.500 0.000
0.830 0.170 0.331
0.500 0.500 0.000
0.659 0.830 0.669
0.500 0.000 0.000
0.333 0.667 0.821
0.667 0.333 0.179
0.000 0.000 0.000
0.667 0.333 0.667
0.333 0.667 0.333

---

[10]
PBE La4PbC, relaxed; E = -5.6199 eV/atom; DOS at the Fermi energy = 13.904 states/eV/cell
1.0
-0.525 1.305 -5.145
2.759 -6.705 -1.982
-9.403 -3.864 -0.021
La Pb C
8 2 2
direct
0.895 0.291 0.500
0.395 0.709 0.000
0.395 0.210 0.190
0.895 0.790 0.310
0.395 0.577 0.500
0.395 0.210 0.810
0.895 0.790 0.690
0.895 0.423 0.000
0.395 0.017 0.500
0.895 0.983 0.000
0.897 0.609 0.500
0.397 0.391 0.000

---

[11]
PBE La2PdPbC, relaxed; E = -5.9286 eV/atom; DOS at the Fermi energy = 5.451 states/eV/cell
1.0
-4.270 3.283 0.797
-3.319 -4.316 0.000
0.476 -0.366 4.054
La Pb C Pd
2 1 1 1
direct
0.000 0.500 0.000
0.500 0.000 0.000
0.500 0.500 0.500
0.000 0.000 0.000
0.000 0.000 0.500

---

[12]
PBE La2PtPbC, relaxed; E = -6.2615 eV/atom; DOS at the Fermi energy = 4.291 states/eV/cell
1.0
-0.953 -4.552 3.079
0.074 -3.135 -4.612
3.881 -0.528 0.421
Pt Pb La C
1 1 2 1
direct
0.000 0.000 0.500
0.500 0.500 0.500
0.000 0.500 0.000
0.500 0.000 0.000
0.000 0.000 0.000

---

[13]
PBE La2RePbC, relaxed; E = -7.2250 eV/atom; DOS at the Fermi energy = 4.125 states/eV/cell
1.0
-3.532 -3.479 2.196
3.806 -3.863 0.002
1.169 1.154 3.709
Re La C Pb
1 2 1 1
direct
0.000 0.000 0.500
0.000 0.500 0.000
0.500 0.000 0.000
0.000 0.000 0.000
0.500 0.500 0.500

---

[14]
PBE La2RhPbC, relaxed; E = -6.4175 eV/atom; DOS at the Fermi energy = 5.195 states/eV/cell
1.0
-1.810 -4.114 -3.155
5.019 -2.226 0.023
-0.939 -2.083 3.254
Rh Pb La C
1 1 2 1
direct
0.000 0.000 0.500
0.500 0.500 0.500
0.500 0.000 0.000
0.000 0.500 0.000
0.000 0.000 0.000

---

[15]
PBE La4SbPbC, relaxed; formation energy (no corrections) = -618 meV per atom; E = -5.8696 eV/atom; DOS at the Fermi energy = 8.493 states/eV/cell
1.0
7.208 0.000 0.000
0.000 7.198 0.000
-3.604 0.000 8.510
La Sb C Pb
8 2 2 2
direct
0.588 0.250 0.176
0.412 0.750 0.824
0.000 0.500 0.500
0.500 0.000 0.500
0.085 0.750 0.170
0.500 0.500 0.500
0.915 0.250 0.830
0.000 0.000 0.500
0.388 0.250 0.775
0.612 0.750 0.225
0.732 0.250 0.464
0.268 0.750 0.536
0.892 0.750 0.784
0.108 0.250 0.216

---

[16]
PBE LaSm2PbC, relaxed; E = -5.8940 eV/atom; DOS at the Fermi energy = 2.658 states/eV/cell
1.0
-0.720 2.985 -4.197
-4.893 0.593 1.261
1.203 4.123 2.726
C Pb Sm La
1 1 2 1
direct
0.000 0.000 0.000
0.500 0.500 0.500
0.000 0.500 0.000
0.000 0.000 0.500
0.500 0.000 0.000

---

[17]
PBE La2SmPbC, relaxed; E = -5.9285 eV/atom; DOS at the Fermi energy = 2.913 states/eV/cell
1.0
-3.118 -1.347 -3.811
3.998 -2.302 -2.457
-1.070 -4.486 2.461
Sm Pb La C
1 1 2 1
direct
0.500 0.000 0.000
0.500 0.500 0.500
0.000 0.000 0.500
0.000 0.500 0.000
0.000 0.000 0.000

---

[18]
PBE La4TePbC, relaxed; formation energy (no corrections) = -661 meV per atom; E = -5.7734 eV/atom; DOS at the Fermi energy = 11.482 states/eV/cell
1.0
7.279 0.000 0.000
0.000 7.265 0.000
-3.640 0.000 8.345
La Pb Te C
8 2 2 2
direct
0.091 0.750 0.182
0.500 0.500 0.500
0.000 0.500 0.500
0.909 0.250 0.818
0.593 0.250 0.185
0.407 0.750 0.815
0.000 0.000 0.500
0.500 0.000 0.500
0.892 0.750 0.784
0.108 0.250 0.216
0.388 0.250 0.775
0.612 0.750 0.225
0.743 0.250 0.486
0.257 0.750 0.514

---

[19]
PBE LaTi2PbC, relaxed; E = -4.7696 eV/atom; DOS at the Fermi energy = 3.539 states/eV/cell
1.0
5.149 0.000 0.000
0.000 6.154 0.000
0.000 0.000 5.149
Ti Pb La C
2 1 1 1
direct
0.500 0.000 0.000
0.000 0.000 0.500
0.000 0.000 0.000
0.000 0.500 0.000
0.500 0.500 0.500

---

[20]
PBE LaTl2PbC, relaxed; E = -3.4601 eV/atom; DOS at the Fermi energy = 4.702 states/eV/cell
1.0
5.990 0.000 0.000
0.000 4.381 0.000
0.000 0.000 5.990
La Tl C Pb
1 2 1 1
direct
0.500 0.500 0.500
0.000 0.000 0.500
0.500 0.000 0.000
0.000 0.500 0.000
0.000 0.000 0.000